# ScNi4Se PBE-GGA relaxed
data_ScNi4Se
_space_group_name_H-M_alt 'F -4 3 m'
_space_group_IT_number 216
_space_group_name_Hall 'F -4 2 3'
_cell_length_a 6.8737
_cell_length_b 6.8737
_cell_length_c 6.8737
_cell_angle_alpha 90.00
_cell_angle_beta 90.00
_cell_angle_gamma 90.00
loop_
_atom_site_label
_atom_site_type_symbol
_atom_site_fract_x
_atom_site_fract_y
_atom_site_fract_z
Sc1 Sc 0.0000 0.0000 0.0000
Ni1 Ni 0.1257 0.1257 0.3743
Se1 Se 0.2500 0.2500 0.7500
# E_form (uncorrected)	-0.228	eV/atom
# crystal system	cubic



# Pr8RuRh2 PBE-GGA relaxed
data_Pr8RuRh2
_space_group_name_H-M_alt 'C 1 2/m 1'
_space_group_IT_number 12
_space_group_name_Hall '-C 2y'
_cell_length_a 17.9540
_cell_length_b 5.1636
_cell_length_c 6.9668
_cell_angle_alpha 90.00
_cell_angle_beta 98.19
_cell_angle_gamma 90.00
loop_
_atom_site_label
_atom_site_type_symbol
_atom_site_fract_x
_atom_site_fract_y
_atom_site_fract_z
Pr1 Pr 0.0387 0.0000 0.2812
Pr2 Pr 0.0862 0.5000 0.9229
Pr3 Pr 0.1646 0.5000 0.4577
Pr4 Pr 0.1996 0.0000 0.8418
Ru1 Ru 0.0000 0.5000 0.5000
Rh1 Rh 0.2127 0.0000 0.2429
# calculated formation energy	-0.27	eV/atom
# relative energy among the computed polymorphs	0	meV per atom
# crystal system	monoclinic



# K2TaTlS4 PBE-GGA relaxed
data_K2TaTlS4
_space_group_name_H-M_alt 'I -4'
_space_group_IT_number 82
_space_group_name_Hall 'I -4'
_cell_length_a 8.0582
_cell_length_b 8.0582
_cell_length_c 8.1760
_cell_angle_alpha 90.00
_cell_angle_beta 90.00
_cell_angle_gamma 90.00
loop_
_atom_site_label
_atom_site_type_symbol
_atom_site_fract_x
_atom_site_fract_y
_atom_site_fract_z
K1 K 0.0000 0.0000 0.0000
K2 K 0.0000 0.5000 0.2500
Ta1 Ta 0.0000 0.5000 0.7500
Tl1 Tl 0.0000 0.0000 0.5000
S1 S 0.1634 0.6669 0.5898
# E_form (uncorrected)	-1.030	eV/atom
# crystal system	tetragonal



# La6Pm2NdY PBE-GGA relaxed
data_La6Pm2NdY
_space_group_name_H-M_alt 'C 1 2/m 1'
_space_group_IT_number 12
_space_group_name_Hall '-C 2y'
_cell_length_a 11.5509
_cell_length_b 7.1027
_cell_length_c 9.2401
_cell_angle_alpha 90.00
_cell_angle_beta 107.08
_cell_angle_gamma 90.00
loop_
_atom_site_label
_atom_site_type_symbol
_atom_site_fract_x
_atom_site_fract_y
_atom_site_fract_z
La1 La 0.1270 0.0000 0.4213
La2 La 0.1932 0.2680 0.7994
Pm1 Pm 0.0775 0.5000 0.1722
Nd1 Nd 0.0000 0.0000 0.0000
Y1 Y 0.0000 0.5000 0.5000
# calculated formation energy	0.18	eV/atom
# crystal system	monoclinic



# MnSb5 PBE-GGA relaxed
data_MnSb5
_space_group_name_H-M_alt 'P -6 2 m'
_space_group_IT_number 189
_space_group_name_Hall 'P -6 -2'
_cell_length_a 7.0050
_cell_length_b 7.0050
_cell_length_c 3.8471
_cell_angle_alpha 90.00
_cell_angle_beta 90.00
_cell_angle_gamma 120.00
loop_
_atom_site_label
_atom_site_type_symbol
_atom_site_fract_x
_atom_site_fract_y
_atom_site_fract_z
Mn1 Mn 0.0000 0.0000 0.0000
Sb1 Sb 0.0000 0.7095 0.5000
Sb2 Sb 0.3333 0.6667 0.0000
# E_form (uncorrected)	0.236	eV/atom
# relative energy among the computed polymorphs	80	meV per atom
# crystal system	hexagonal



# NaHfTe2F PBE-GGA relaxed
data_NaHfTe2F
_space_group_name_H-M_alt 'P 4/m m m'
_space_group_IT_number 123
_space_group_name_Hall '-P 4 2'
_cell_length_a 5.6685
_cell_length_b 5.6685
_cell_length_c 4.1732
_cell_angle_alpha 90.00
_cell_angle_beta 90.00
_cell_angle_gamma 90.00
loop_
_atom_site_label
_atom_site_type_symbol
_atom_site_fract_x
_atom_site_fract_y
_atom_site_fract_z
Na1 Na 0.0000 0.0000 0.0000
Hf1 Hf 0.5000 0.5000 0.5000
Te1 Te 0.0000 0.5000 0.5000
F1 F 0.5000 0.5000 0.0000
# E_form (uncorrected)	-1.472	eV/atom
# crystal system	tetragonal